# Li3Fe2Si2O8

A relaxed Li3Fe2Si2O8 crystal (PBE+U, Alexandria).

The uncorrected energy is -200.47 eV/cell. The calculation puts the energy relative to the lowest polymorph listed for this composition at 3.4 kJ per mole of atoms. Its total magnetization is 9.01 μB/f.u.

The structure in CIF format:
```
data_Li3Fe2Si2O8
_chemical_formula_sum 'Li6 Fe4 Si4 O16'
_cell_length_a 6.6708
_cell_length_b 5.0926
_cell_length_c 10.7305
_cell_angle_alpha 90.00
_cell_angle_beta 90.69
_cell_angle_gamma 90.00
_symmetry_space_group_name_H-M 'P 1 c 1'
_symmetry_Int_Tables_number 7
_symmetry_space_group_name_Hall 'P -2yc'
loop_
_atom_site_label
_atom_site_type_symbol
_atom_site_fract_x
_atom_site_fract_y
_atom_site_fract_z
Li1 Li 0.0000 0.0590 0.0000
Li2 Li 0.0066 0.4325 0.8345
Li3 Li 0.7869 0.0659 0.2324
Fe1 Fe 0.4851 0.0448 0.0133
Fe2 Fe 0.4958 0.4430 0.8183
Si1 Si 0.2329 0.0665 0.2518
Si2 Si 0.7542 0.4390 0.5708
O1 O 0.0310 0.0428 0.8157
O2 O 0.2406 0.0046 0.1035
O3 O 0.2566 0.3846 0.2816
O4 O 0.4459 0.0662 0.8166
O5 O 0.5462 0.4581 0.9942
O6 O 0.7244 0.4613 0.2204
O7 O 0.7432 0.1134 0.5702
O8 O 0.9453 0.4354 0.0080
```